No. 1
VASP calculation (GGA-PBE) on LuZnFeCu after structural relaxation.

Values from the calculation:
- Symmetry: F-43m
- Energy relative to the lowest polymorph listed for this composition: 0.000 eV/f.u.

abc: 4.5009 4.5009 4.5009
angles: 60.00 60.00 60.00
Element x y z (fractional)
Cu (0.5000, 0.5000, 0.5000)
Fe (0.7500, 0.7500, 0.7500)
Lu (0.2500, 0.2500, 0.2500)
Zn (0.0000, 0.0000, 0.0000)


No. 2
VASP calculation (GGA-PBE) on LuZnFeCu after structural relaxation.

Values from the calculation:
- Symmetry: F-43m
- Energy relative to the lowest polymorph listed for this composition: 0.106 eV/f.u.

abc: 4.4661 4.4661 4.4661
angles: 60.00 60.00 60.00
Element x y z (fractional)
Cu (0.7500, 0.7500, 0.7500)
Fe (0.2500, 0.2500, 0.2500)
Lu (0.5000, 0.5000, 0.5000)
Zn (0.0000, 0.0000, 0.0000)


No. 3
VASP calculation (GGA-PBE) on LuZnFeCu after structural relaxation.

Values from the calculation:
- Symmetry: F-43m
- Energy relative to the lowest polymorph listed for this composition: 0.464 eV/f.u.

abc: 4.4956 4.4956 4.4956
angles: 60.00 60.00 60.00
Element x y z (fractional)
Cu (0.7500, 0.7500, 0.7500)
Fe (0.5000, 0.5000, 0.5000)
Lu (0.2500, 0.2500, 0.2500)
Zn (0.0000, 0.0000, 0.0000)


Calculated formation energy per entry: 0.02 0.05 0.14 eV per atom
Calculated density per entry: 9.266 9.484 9.299 g/cm3
Energy per entry: -4.434 -4.408 -4.318 eV/atom